A plane-wave DFT calculation with PBE was carried out for crystalline TaSnF2 at its relaxed geometry.

a = 4.231 Å, b = 4.231 Å, c = 7.925 Å
α = 74.52°, β = 74.52°, γ = 90.00°
Element x y z (fractional)
F 0.763 0.125 0.250
F 0.987 0.625 0.250
F 0.375 0.237 0.750
F 0.875 0.013 0.750
Sn 0.500 0.500 0.000
Sn 0.250 0.750 0.500
Ta 0.000 0.000 0.000
Ta 0.750 0.250 0.500

## Properties
V, Å³/atom: 16.4
E_form (uncorrected), eV per atom: -1.120
Energy relative to the lowest polymorph listed for this composition, eV/atom: 0.345